(1)
DFT (PBE-GGA) results for an optimized crystal structure of CdRu3Pb.

Cell: 4.9844 4.9844 4.9844 Å, 90.00 90.00 90.00°
Last column: magnetic moment on the atom in μB.
Positions (direct):
Cd 0.5000 0.5000 0.5000  -0.04
Ru 0.5000 0.0000 0.0000  1.06
Ru 0.0000 0.5000 0.0000  1.38
Ru 0.0000 0.0000 0.5000  1.65
Pb 0.0000 0.0000 0.0000  -0.07

Computed properties:
- N(E_F) (states/eV/cell) = 5.87
- ΔE to the lowest computed polymorph (meV per atom) = 0
- total magnetization (μB per formula unit) = 4.0
- E_form (meV/atom) = 1934
- space-group type = Pm-3m (221)


(2)
DFT (PBE-GGA) results for an optimized crystal structure of Er2Zn12Cu3Pd.

Cell: 11.7022 11.7022 11.7022 Å, 28.16 28.16 28.16°
Positions (direct):
Cu 0.0000 0.0000 0.5000
Zn 0.1436 0.5991 0.5991
Zn 0.1165 0.5988 0.1165
Zn 0.5988 0.1165 0.1165
Zn 0.5991 0.5991 0.1436
Zn 0.1165 0.1165 0.5988
Zn 0.8835 0.8835 0.4012
Zn 0.4009 0.8564 0.4009
Pd 0.0000 0.0000 0.0000
Zn 0.8564 0.4009 0.4009
Er 0.6398 0.6398 0.6398
Zn 0.5991 0.1436 0.5991
Zn 0.4012 0.8835 0.8835
Er 0.3602 0.3602 0.3602
Zn 0.8835 0.4012 0.8835
Zn 0.4009 0.4009 0.8564
Cu 0.5000 0.0000 0.0000
Cu 0.0000 0.5000 0.0000

Computed properties:
- N(E_F) (states/eV/cell) = 10.83
- total magnetization (μB per formula unit) = 0.0
- E_form (meV/atom) = -65
- space-group type = R-3m (166)


(3)
DFT (PBE-GGA) results for an optimized crystal structure of ZnP2SN.

Cell: 4.6745 4.6745 4.6878 Å, 90.00 90.00 90.00°
Last column: magnetic moment on the atom in μB.
Positions (direct):
Zn 0.0000 0.0000 0.0000  0.00
P 0.5000 0.0000 0.0000  -0.18
S 0.0000 0.0000 0.5000  0.15
N 0.5000 0.5000 0.5000  1.69
P 0.0000 0.5000 0.0000  -0.18

Computed properties:
- N(E_F) (states/eV/cell) = 4.00
- ΔE to the lowest computed polymorph (meV per atom) = 923
- total magnetization (μB per formula unit) = 1.9
- formation energy without anion corrections (eV/atom) = 1.91
- space-group type = P4/mmm (123)


(4)
DFT (PBE-GGA) results for an optimized crystal structure of NpBe2HgO6.

Cell: 5.4137 7.1865 7.1865 Å, 88.62 72.51 72.51°
Last column: magnetic moment on the atom in μB.
Positions (direct):
O 0.8678 0.4062 0.7997  -0.04
Be 0.3358 0.7751 0.6495  0.00
O 0.8174 0.0035 0.2455  -0.03
O 0.3174 0.2455 0.0035  -0.03
Be 0.8358 0.6495 0.7751  0.00
Np 0.2500 0.2978 0.7022  1.19
Hg 0.7500 0.0905 0.9095  0.00
O 0.6826 0.7545 0.9965  -0.03
Be 0.1642 0.3505 0.2249  0.00
O 0.1718 0.6159 0.7146  -0.03
O 0.6718 0.7146 0.6159  -0.03
O 0.3678 0.7997 0.4062  -0.04
O 0.1826 0.9965 0.7545  -0.03
O 0.3282 0.2854 0.3841  -0.03
O 0.6322 0.2003 0.5938  -0.04
Hg 0.2500 0.9095 0.0905  0.00
O 0.1322 0.5938 0.2003  -0.04
O 0.8282 0.3841 0.2854  -0.03
Be 0.6642 0.2249 0.3505  0.00
Np 0.7500 0.7022 0.2978  1.19

Computed properties:
- N(E_F) (states/eV/cell) = 2.02
- total magnetization (μB per formula unit) = 1.0
- formation energy without anion corrections (eV/atom) = -2.10
- space-group type = C2/c (15)


(5)
DFT (PBE-GGA) results for an optimized crystal structure of Rb3Np3RhS8.

Cell: 7.8548 7.8716 9.0945 Å, 115.68 90.00 119.93°
Last column: magnetic moment on the atom in μB.
Positions (direct):
Rb 0.0000 0.5000 0.0000  0.00
S 0.2144 0.4289 0.6772  0.07
S 0.7480 0.9634 0.6785  0.00
Np 0.5000 0.0000 0.5000  3.44
Rb 0.5000 0.5000 0.0000  0.00
Np 0.0000 0.5000 0.5000  -3.54
S 0.7847 0.0366 0.3215  0.00
S 0.2674 0.5348 0.3038  0.03
Rh 0.0000 0.0000 0.5000  -0.11
S 0.7856 0.5711 0.3228  0.07
S 0.7326 0.4652 0.6962  0.03
S 0.2520 0.0366 0.3215  0.00
Rb 0.0000 0.0000 0.0000  0.00
Np 0.5000 0.5000 0.5000  -3.54
S 0.2153 0.9634 0.6785  0.00

Computed properties:
- N(E_F) (states/eV/cell) = 22.55
- total magnetization (μB per formula unit) = 3.7
- formation energy without anion corrections (eV/atom) = -1.15
- space-group type = C2/m (12)


(6)
DFT (PBE-GGA) results for an optimized crystal structure of BeCo2Cu.

Cell: 4.2652 4.2652 2.4764 Å, 90.00 90.00 111.33°
Last column: magnetic moment on the atom in μB.
Positions (direct):
Co 0.0000 0.0000 0.0000  1.41
Cu 0.5000 0.0000 0.5000  0.10
Co 0.5000 0.5000 0.0000  1.41
Be 0.0000 0.5000 0.5000  -0.04

Computed properties:
- N(E_F) (states/eV/cell) = 4.65
- total magnetization (μB per formula unit) = 2.8
- E_form (meV/atom) = 67
- space-group type = Cmmm (65)


What did we get for theoretical density? Answer: 8.35, 7.46, 2.81, 7.22, 5.22, 7.53 g/cm3, in the order shown.
What did we get for calculated volume? Answer: 123.84, 315.29, 102.43, 253.67, 422.03, 41.97 Å³/cell, in the order shown.